{"formula": "ZrIn2GaCl6", "functional": "PBE", "state": "relaxed", "lattice_angstrom": [[6.405, -3.648, 0.000], [6.405, 3.648, 0.000], [-4.582, 0.000, 6.331]], "species": ["In", "In", "Cl", "Cl", "Cl", "Cl", "Cl", "Cl", "Ga", "Zr"], "frac_coords": [[0.750, 0.750, 0.271], [0.250, 0.250, 0.729], [0.272, 0.272, 0.167], [0.195, 0.675, 0.661], [0.805, 0.325, 0.339], [0.675, 0.195, 0.661], [0.728, 0.728, 0.833], [0.325, 0.805, 0.339], [0.000, 0.000, 0.000], [0.500, 0.500, 0.500]], "density_g_cm3": 3.4, "energy_ev_per_atom": -3.926}